The following is a DFT calculation (PBE) of an optimized crystal structure of Na2HoW2.

Geometry as extended XYZ:
```
10
Lattice="4.391 0.000 0.000 0.000 9.482 0.000 0.000 0.000 6.033" Properties=species:S:1:pos:R:3 pbc="T T T"
Na 0.943 1.321 0.000
Na 1.252 6.062 0.000
Na 3.139 3.420 0.000
Na 3.447 8.161 0.000
Ho 0.000 4.741 3.016
Ho 2.195 0.000 3.016
W 0.055 7.739 3.016
W 2.141 2.998 3.016
W 2.250 6.483 3.016
W 4.336 1.743 3.016
```

- total magnetic moment (μB per formula unit) = 0.0
- space group = Pbam
- DFT total energy (eV/cell) = -57.08


The following is a DFT calculation (PBE) of an optimized crystal structure of BeRe2Pb.

Geometry as extended XYZ:
```
4
Lattice="0.000 3.162 3.162 3.162 0.000 3.162 3.162 3.162 0.000" Properties=species:S:1:pos:R:3 pbc="T T T"
Be 0.000 0.000 0.000
Re 1.581 1.581 1.581
Re 3.162 3.162 3.162
Pb 4.743 4.743 4.743
```

- total magnetic moment (μB per formula unit) = 0.0
- space group = F-43m
- DFT total energy (eV/cell) = -28.55


The following is a DFT calculation (PBE) of an optimized crystal structure of Be4Cd.

Geometry as extended XYZ:
```
10
Lattice="3.228 0.000 0.000 0.000 3.228 0.000 0.000 0.000 10.562" Properties=species:S:1:pos:R:3 pbc="T T T"
Be 0.807 0.807 0.032
Be 0.807 2.421 1.428
Be 0.807 2.421 5.281
Be 0.807 2.421 9.134
Be 2.421 0.807 1.428
Be 2.421 0.807 5.281
Be 2.421 0.807 9.134
Be 2.421 2.421 10.530
Cd 0.807 0.807 7.179
Cd 2.421 2.421 3.383
```

- space group = P4/nmm
- DFT total energy (eV/cell) = -28.51


The following is a DFT calculation (PBE) of an optimized crystal structure of BSb2Au.

Geometry as extended XYZ:
```
4
Lattice="0.000 3.469 3.469 3.469 0.000 3.469 3.469 3.469 0.000" Properties=species:S:1:pos:R:3 pbc="T T T"
B 0.000 0.000 0.000
Sb 3.469 3.469 3.469
Sb 5.203 5.203 5.203
Au 1.734 1.734 1.734
```

- space group = F-43m
- DFT total energy (eV/cell) = -13.94


The following is a DFT calculation (PBE) of an optimized crystal structure of Tm3Al3CuSiGe.

Geometry as extended XYZ:
```
9
Lattice="6.903 0.000 0.000 -3.452 5.978 0.000 0.000 0.000 4.115" Properties=species:S:1:pos:R:3 pbc="T T T"
Tm -0.655 2.008 0.000
Tm -1.385 5.541 0.000
Tm 2.040 4.407 0.000
Al 1.825 2.012 2.057
Al 4.248 0.575 2.057
Al 4.281 3.392 2.057
Cu 3.452 1.993 0.000
Si 0.000 3.985 2.057
Ge 0.000 0.000 2.057
```

- total magnetic moment (μB per formula unit) = 0.0
- space group = P-6
- DFT total energy (eV/cell) = -44.16


The following is a DFT calculation (PBE) of an optimized crystal structure of NiGe2Pd.

Geometry as extended XYZ:
```
8
Lattice="5.700 0.000 0.000 0.000 3.444 0.000 -0.043 0.000 6.174" Properties=species:S:1:pos:R:3 pbc="T T T"
Ni 0.019 0.861 1.909
Ni 5.637 2.583 4.265
Ge 0.945 0.861 5.668
Ge 1.636 2.583 2.627
Ge 4.020 0.861 3.547
Ge 4.711 2.583 0.507
Pd 2.810 2.583 4.972
Pd 2.846 0.861 1.203
```

- total magnetic moment (μB per formula unit) = 0.0
- energy above the lowest structure with this stoichiometry (meV per atom) = 4.0
- space group = P2_1/m
- DFT total energy (eV/cell) = -42.96


The following is a DFT calculation (PBE) of an optimized crystal structure of Ba2FeSbSe5.

Geometry as extended XYZ:
```
36
Lattice="12.748 0.000 0.000 0.000 9.193 0.000 0.000 0.000 9.305" Properties=species:S:1:pos:R:3 pbc="T T T"
Ba 2.236 0.070 1.144
Ba 2.236 4.527 1.144
Ba 4.138 4.666 5.796
Ba 4.138 9.123 5.796
Ba 8.610 0.070 3.508
Ba 8.610 4.527 3.508
Ba 10.512 4.666 8.161
Ba 10.512 9.123 8.161
Fe 1.239 6.895 7.745
Fe 5.135 2.298 3.092
Fe 7.613 6.895 6.212
Fe 11.509 2.298 1.560
Sb 0.333 6.895 4.536
Sb 6.040 2.298 9.188
Sb 6.707 6.895 0.116
Sb 12.414 2.298 4.769
Se 0.086 2.298 8.936
Se 0.736 4.964 6.371
Se 0.736 8.825 6.371
Se 2.768 6.895 3.565
Se 2.831 2.298 3.641
Se 3.543 6.895 8.293
Se 3.606 2.298 8.217
Se 5.638 0.368 1.719
Se 5.638 4.228 1.719
Se 6.288 6.895 4.284
Se 6.460 2.298 5.021
Se 7.109 4.964 7.586
Se 7.109 8.825 7.586
Se 9.142 6.895 1.088
Se 9.205 2.298 1.011
Se 9.917 6.895 5.664
Se 9.980 2.298 5.740
Se 12.012 0.368 2.934
Se 12.012 4.228 2.934
Se 12.662 6.895 0.368
```

- total magnetic moment (μB per formula unit) = 5.0
- space group = Pnma
- DFT total energy (eV/cell) = -173.95


The following is a DFT calculation (PBE) of an optimized crystal structure of K4ErP2.

Geometry as extended XYZ:
```
7
Lattice="2.168 1.252 18.595 -2.168 1.252 18.595 0.000 -2.503 18.595" Properties=species:S:1:pos:R:3 pbc="T T T"
K 0.000 0.000 6.026
K 0.000 0.000 20.515
K 0.000 0.000 35.271
K 0.000 0.000 49.761
Er 0.000 0.000 27.893
P 0.000 0.000 10.633
P 0.000 0.000 45.154
```

- total magnetic moment (μB per formula unit) = 0.0
- space group = R-3m
- DFT total energy (eV/cell) = -22.35


The following is a DFT calculation (PBE) of an optimized crystal structure of Dy2Te5.

Geometry as extended XYZ:
```
7
Lattice="7.742 -2.232 0.000 7.742 2.232 0.000 -4.366 0.000 7.567" Properties=species:S:1:pos:R:3 pbc="T T T"
Dy 0.706 0.000 2.364
Dy 10.412 0.000 5.204
Te -2.355 0.000 6.946
Te 3.545 0.000 3.391
Te 7.742 0.000 0.000
Te 7.572 0.000 4.176
Te 13.472 0.000 0.621
```

- total magnetic moment (μB per formula unit) = 0.0
- energy above the lowest structure with this stoichiometry (meV per atom) = 136.2
- space group = C2/m
- DFT total energy (eV/cell) = -31.10


The following is a DFT calculation (PBE) of an optimized crystal structure of TbU2.

Geometry as extended XYZ:
```
6
Lattice="0.000 5.899 5.899 5.899 0.000 5.899 5.899 5.899 0.000" Properties=species:S:1:pos:R:3 pbc="T T T"
Tb 1.475 1.475 1.475
Tb 10.324 10.324 10.324
U 0.000 0.000 0.000
U 2.950 2.950 0.000
U 2.950 0.000 2.950
U 0.000 2.950 2.950
```

- total magnetic moment (μB per formula unit) = 3.1
- formation enthalpy at 0 K (eV/atom) = 3.38
- space group = Fd-3m
- DFT total energy (eV/cell) = -34.14


The following is a DFT calculation (PBE) of an optimized crystal structure of Sc2Zn2Cd2HgAu.

Geometry as extended XYZ:
```
8
Lattice="4.769 0.000 0.000 0.000 4.769 0.000 0.000 0.000 6.700" Properties=species:S:1:pos:R:3 pbc="T T T"
Sc 0.000 2.384 1.618
Sc 2.384 0.000 5.082
Zn 0.000 2.384 5.076
Zn 2.384 0.000 1.624
Cd 0.000 0.000 3.350
Cd 2.384 2.384 0.000
Hg 2.384 2.384 3.350
Au 0.000 0.000 0.000
```

- total magnetic moment (μB per formula unit) = 0.0
- formation enthalpy at 0 K (eV/atom) = -0.31
- space group = P-4m2
- DFT total energy (eV/cell) = -23.05


The following is a DFT calculation (PBE) of an optimized crystal structure of LuCu2Sb.

Geometry as extended XYZ:
```
4
Lattice="0.000 3.346 3.346 3.346 0.000 3.346 3.346 3.346 0.000" Properties=species:S:1:pos:R:3 pbc="T T T"
Lu 0.000 0.000 0.000
Cu 1.673 1.673 1.673
Cu 3.346 3.346 3.346
Sb 5.019 5.019 5.019
```

- total magnetic moment (μB per formula unit) = 0.0
- space group = F-43m
- DFT total energy (eV/cell) = -16.60


The following is a DFT calculation (PBE) of an optimized crystal structure of LiPd2Pb.

Geometry as extended XYZ:
```
8
Lattice="4.507 0.000 0.000 -2.254 3.903 0.000 0.000 0.000 7.863" Properties=species:S:1:pos:R:3 pbc="T T T"
Li 0.000 2.602 1.966
Li 2.254 1.301 5.897
Pd 0.000 2.602 4.517
Pd 0.000 2.602 7.277
Pd 2.254 1.301 0.585
Pd 2.254 1.301 3.346
Pb 0.000 0.000 1.966
Pb 0.000 0.000 5.897
```

- space group = P6_3/mmc
- DFT total energy (eV/cell) = -33.95


The following is a DFT calculation (PBE) of an optimized crystal structure of AlPdW2.

Geometry as extended XYZ:
```
4
Lattice="0.000 3.146 3.146 3.146 0.000 3.146 3.146 3.146 0.000" Properties=species:S:1:pos:R:3 pbc="T T T"
Al 0.000 0.000 0.000
Pd 1.573 1.573 1.573
W 3.146 3.146 3.146
W 4.718 4.718 4.718
```

- total magnetic moment (μB per formula unit) = 0.0
- space group = F-43m
- DFT total energy (eV/cell) = -34.63


The following is a DFT calculation (PBE) of an optimized crystal structure of BaPmO3.

Geometry as extended XYZ:
```
10
Lattice="3.142 1.814 5.529 -3.142 1.814 5.529 0.000 -3.628 5.529" Properties=species:S:1:pos:R:3 pbc="T T T"
Ba 0.000 0.000 2.162
Ba 0.000 0.000 14.425
Pm 0.000 0.000 5.835
Pm 0.000 0.000 10.752
O -1.382 -1.586 6.794
O -2.064 0.404 9.793
O -0.682 1.990 6.794
O 0.682 -1.990 9.793
O 2.064 -0.404 6.794
O 1.382 1.586 9.793
```

- total magnetic moment (μB per formula unit) = 1.0
- space group = R-3
- DFT total energy (eV/cell) = -68.83


The following is a DFT calculation (PBE) of an optimized crystal structure of HoMg.

Geometry as extended XYZ:
```
8
Lattice="6.825 0.000 0.000 -3.412 5.910 0.000 0.000 0.000 5.487" Properties=species:S:1:pos:R:3 pbc="T T T"
Ho 0.000 0.000 0.000
Ho 1.696 0.979 2.743
Ho 5.129 0.979 2.743
Ho 3.412 3.952 2.743
Mg 0.000 3.940 2.743
Mg 3.412 0.035 0.000
Mg 1.736 2.938 0.000
Mg 5.088 2.938 0.000
```

- total magnetic moment (μB per formula unit) = 0.2
- space group = P-6m2
- DFT total energy (eV/cell) = -23.91


The following is a DFT calculation (PBE) of an optimized crystal structure of Sc4FeSbC2.

Geometry as extended XYZ:
```
8
Lattice="3.342 0.000 0.000 -1.671 2.894 0.000 0.000 0.000 13.959" Properties=species:S:1:pos:R:3 pbc="T T T"
Sc 0.000 0.000 2.093
Sc 0.000 0.000 11.867
Sc 1.671 0.965 4.540
Sc 1.671 0.965 9.419
Fe 1.671 0.965 0.000
Sb 0.000 0.000 6.980
C 0.000 1.929 3.373
C 0.000 1.929 10.586
```

- total magnetic moment (μB per formula unit) = 1.7
- space group = P-6m2
- DFT total energy (eV/cell) = -59.33


The following is a DFT calculation (PBE) of an optimized crystal structure of SrPAuO.

Geometry as extended XYZ:
```
8
Lattice="3.493 0.000 0.000 0.000 7.771 0.000 0.000 0.000 5.719" Properties=species:S:1:pos:R:3 pbc="T T T"
Sr 0.000 0.989 0.000
Sr 0.000 6.782 2.860
P 0.000 3.667 2.185
P 0.000 4.104 5.045
Au 1.747 2.205 2.844
Au 1.747 5.566 5.703
O 1.747 0.402 4.072
O 1.747 7.369 1.213
```

- energy above the lowest structure with this stoichiometry (meV per atom) = 0.0
- space group = Pmc2_1
- DFT total energy (eV/cell) = -39.03


The following is a DFT calculation (PBE) of an optimized crystal structure of Ga2Pd9.

Geometry as extended XYZ:
```
11
Lattice="2.817 0.000 0.000 -1.408 2.439 0.000 0.000 0.000 35.676" Properties=species:S:1:pos:R:3 pbc="T T T"
Ga 0.000 1.626 11.190
Ga 1.408 0.813 24.487
Pd 0.000 0.000 0.000
Pd 0.000 0.000 6.765
Pd 0.000 0.000 28.911
Pd 0.000 1.626 4.495
Pd 0.000 1.626 26.587
Pd 0.000 1.626 33.434
Pd 1.408 0.813 2.242
Pd 1.408 0.813 9.090
Pd 1.408 0.813 31.181
```

- space group = P-3m1
- DFT total energy (eV/cell) = -53.26


The following is a DFT calculation (PBE) of an optimized crystal structure of AcAu3.

Geometry as extended XYZ:
```
8
Lattice="2.346 -5.466 0.000 2.346 5.466 0.000 0.000 0.000 7.426" Properties=species:S:1:pos:R:3 pbc="T T T"
Ac 2.346 4.467 5.569
Ac 2.346 -4.467 1.856
Au 2.346 3.220 1.856
Au 2.346 1.344 4.131
Au 2.346 1.344 7.007
Au 2.346 -1.344 0.418
Au 2.346 -1.344 3.294
Au 2.346 -3.220 5.569
```

- total magnetic moment (μB per formula unit) = 0.0
- formation enthalpy at 0 K (eV/atom) = -0.73
- space group = Cmcm
- DFT total energy (eV/cell) = -33.64